Below is a relaxed Mn2Ga2Ni4P crystal, with properties calculated at the PBE level.

Computed properties:
The energy of formation is -13 kJ per mole of atoms. The value obtained for the calculated volume is 12.83 Å³ per atom. The total moment comes out at 4.3 μB/f.u. The density of states at the Fermi level is 7.401 states/eV/f.u.

Cell lengths 5.451, 5.451, 5.451 Å; angles 90.98, 119.44, 119.44 degrees
Fractional positions:
1 Mn 0.000 0.278 0.278
2 Mn 0.000 0.722 0.722
3 Ga 0.500 0.750 0.250
4 Ga 0.500 0.250 0.750
5 Ni 0.458 0.729 0.729
6 Ni 0.542 0.271 0.271
7 Ni 0.000 0.271 0.729
8 Ni 0.000 0.729 0.271
9 P 0.000 0.000 0.000